# 1
Entry from the Alexandria database: Rb2PmPtO6 after structural relaxation (PBE).

a = 6.075 Å, b = 6.075 Å, c = 6.075 Å
α = 60.00°, β = 60.00°, γ = 60.00°
Fractional positions:
1 Rb 0.250 0.250 0.250
2 Rb 0.750 0.750 0.750
3 Pm 0.000 0.000 0.000
4 Pt 0.500 0.500 0.500
5 O 0.271 0.271 0.729
6 O 0.271 0.729 0.271
7 O 0.271 0.729 0.729
8 O 0.729 0.271 0.271
9 O 0.729 0.271 0.729
10 O 0.729 0.729 0.271

Calculated values
- N(E_F): 0.84 states/eV per atom
- ΔE_f (raw): -32.44 kcal/mol of atoms

# 2
Entry from the Alexandria database: K3Tl4I8 after structural relaxation (PBE).

a = 10.036 Å, b = 10.036 Å, c = 10.020 Å
α = 119.93°, β = 119.93°, γ = 90.02°
Fractional positions:
1 K 0.000 0.000 0.000
2 K 0.000 0.500 0.000
3 K 0.500 0.000 0.000
4 Tl 0.000 0.500 0.500
5 Tl 0.500 0.000 0.500
6 Tl 0.500 0.500 0.000
7 Tl 0.500 0.500 0.500
8 I 0.250 0.750 0.000
9 I 0.268 0.268 0.500
10 I 0.268 0.732 0.500
11 I 0.269 0.269 0.038
12 I 0.731 0.731 0.962
13 I 0.732 0.268 0.500
14 I 0.732 0.732 0.500
15 I 0.750 0.250 0.000

Calculated values
- N(E_F): 0.42 states/eV per atom
- ΔE_f (raw): -21.17 kcal/mol of atoms

# 3
Entry from the Alexandria database: Tb2Ho4Er after structural relaxation (PBE).

a = 5.996 Å, b = 6.552 Å, c = 11.473 Å
α = 90.00°, β = 104.28°, γ = 90.00°
Fractional positions:
1 Tb 0.100 0.250 0.494
2 Tb 0.218 0.250 0.073
3 Tb 0.782 0.750 0.927
4 Tb 0.900 0.750 0.506
5 Ho 0.151 0.005 0.789
6 Ho 0.151 0.495 0.789
7 Ho 0.345 0.750 0.057
8 Ho 0.478 0.750 0.643
9 Ho 0.522 0.250 0.357
10 Ho 0.655 0.250 0.943
11 Ho 0.849 0.505 0.211
12 Ho 0.849 0.995 0.211
13 Er 0.352 0.750 0.343
14 Er 0.648 0.250 0.657

Calculated values
- Relative energy among the computed polymorphs: 13.3 kJ per mole of atoms
- Formation energy: 141 meV per atom
- N(E_F): 1.71 states/eV per atom

# 4
Entry from the Alexandria database: BiN2Cl after structural relaxation (PBE).

a = 3.431 Å, b = 6.516 Å, c = 11.726 Å
α = 89.86°, β = 84.57°, γ = 89.54°
Fractional positions:
1 Bi 0.000 0.000 0.000
2 Bi 0.000 0.500 0.000
3 N 0.270 0.334 0.404
4 N 0.272 0.163 0.402
5 N 0.728 0.837 0.598
6 N 0.730 0.666 0.596
7 Cl 0.059 0.251 0.811
8 Cl 0.941 0.749 0.189

Calculated values
- Relative energy among the computed polymorphs: 0.0 kJ per mole of atoms
- N(E_F): 0.14 states/eV per atom
- ΔE_f (raw): -5.07 kcal/mol of atoms

| no. | magnetic moment (μB per formula unit) | E (Ry per atom) | calculated volume (Å³ per cell) |
| --- | --- | --- | --- |
| 1 | 2.90 | -0.4156 | 158.6 |
| 2 | 0.00 | -0.1907 | 715.0 |
| 3 | 0.00 | -0.3270 | 436.8 |
| 4 | 0.00 | -0.4274 | 260.9 |